Entry from Alexandria via LeMat-Bulk: a relaxed CaLa2S4 crystal (PBE).

## Properties
E_tot ... -5.874 eV/atom
ΔE_f (raw) ... -1.82 eV per atom
Fermi-level density of states ... 0.000 states/eV per atom
Total moment ... 0.000 Bohr magnetons per cell

Unit cell a=5.0671 b=5.0671 c=14.6479 alpha=90.00 beta=90.00 gamma=90.00
Space group I4/mmm (No. 139)
Asymmetric unit:
Ca 0.0000 0.0000 0.0000
La 0.0000 0.0000 0.3691
S 0.0000 0.0000 0.1883
S 0.0000 0.5000 0.0000